Record 1
Below is a relaxed structure of BePd3Pt12, with properties calculated at the PBE-GGA level.

Values from the calculation:
The value obtained for the density of states at the Fermi level is 25.57 states/eV/f.u. The value obtained for the energy relative to the elements is -0.10 eV/atom. Its space group is P4/mmm (123).

```
BePd3Pt12
1.0
-3.1562 -1.2946 -1.9324
2.0664 -0.0655 -3.3312
4.3212 -14.9756 2.9751
Be Pd Pt
1 3 12
Direct
0.0000 0.0000 0.0000
0.0000 0.0000 0.2453
0.0000 0.0000 0.5000
0.0000 0.0000 0.7547
0.5000 0.5000 0.0000
0.5000 0.5000 0.2444
0.5000 0.5000 0.5000
0.5000 0.5000 0.7556
0.5000 0.0000 0.1164
0.5000 0.0000 0.3728
0.5000 0.0000 0.6272
0.5000 0.0000 0.8836
0.0000 0.5000 0.1164
0.0000 0.5000 0.3728
0.0000 0.5000 0.6272
0.0000 0.5000 0.8836
```

---

Record 2
Below is a relaxed structure of YSe2Cl, with properties calculated at the PBE-GGA level.

Values from the calculation:
As for the formation energy from raw total energies: -5.6 eV/f.u. Its space group is Cm (8).

```
YSe2Cl
1.0
5.4365 -0.0076 0.0072
4.0348 3.6437 0.0072
1.2773 0.4904 5.3063
Cl Se Y
1 2 1
Direct
0.8147 0.8147 0.6402
0.9988 0.9988 0.0064
0.1651 0.1651 0.2472
0.5214 0.5214 0.6062
```

---

Record 3
Below is a relaxed structure of Tb12Nd2Er5, with properties calculated at the PBE-GGA level.

Values from the calculation:
The value obtained for the density of states at the Fermi level is 27.35 states/eV/f.u. The value obtained for the energy relative to the elements is 0.13 eV/atom. Its space group is C2/m (12).

```
Tb12Nd2Er5
1.0
9.2220 0.0000 0.0000
-4.6110 11.4022 -1.6966
0.0000 -5.3053 6.6939
Tb Nd Er
12 2 5
Direct
0.0932 0.1863 0.3038
0.0246 0.6874 0.9303
0.6628 0.6874 0.9303
0.1817 0.7476 0.4026
0.5658 0.7476 0.4026
0.5594 0.1187 0.7870
0.4406 0.8813 0.2130
0.8183 0.2524 0.5974
0.4342 0.2524 0.5974
0.9754 0.3126 0.0697
0.3372 0.3126 0.0697
0.9068 0.8137 0.6962
0.6820 0.0000 0.0000
0.3180 0.0000 0.0000
0.3024 0.6048 0.6160
0.2313 0.4627 0.8880
0.0000 0.0000 0.5000
0.7687 0.5373 0.1120
0.6976 0.3952 0.3840
```

---

Record 4
Below is a relaxed structure of CuSi2Rh, with properties calculated at the PBE-GGA level.

Values from the calculation:
As for the formation energy from raw total energies: 0.8 eV/f.u. The value obtained for the density of states at the Fermi level is 2.22 states/eV/f.u. Its space group is I-42d (122).

```
CuSi2Rh
1.0
-1.8007 3.2191 -4.4157
-1.0555 -4.7666 -3.0445
-5.5895 -0.8846 -2.1139
Si Rh Cu
4 2 2
Direct
0.6290 0.1250 0.2500
0.1210 0.6250 0.2500
0.3750 0.3710 0.7500
0.8750 0.8790 0.7500
0.0000 0.0000 0.0000
0.7500 0.2500 0.5000
0.5000 0.5000 0.0000
0.2500 0.7500 0.5000
```

---

Record 5
Below is a relaxed structure of Na5Dy3Br12, with properties calculated at the PBE-GGA level.

Values from the calculation:
As for the formation energy from raw total energies: -28.4 eV/f.u. The value obtained for the density of states at the Fermi level is 8.26 states/eV/f.u. Its space group is Ia-3d (230).

```
Na5Dy3Br12
1.0
-1.4873 -7.2982 -12.7006
-10.4352 -4.3701 9.4228
-1.3484 14.4540 -2.4584
Dy Na Br
12 20 48
Direct
0.7500 0.3750 0.1250
0.8750 0.7500 0.1250
0.3750 0.7500 0.6250
0.2500 0.1250 0.3750
0.8750 0.1250 0.2500
0.3750 0.6250 0.2500
0.6250 0.3750 0.7500
0.1250 0.8750 0.7500
0.7500 0.8750 0.6250
0.6250 0.2500 0.3750
0.1250 0.2500 0.8750
0.2500 0.6250 0.8750
0.1250 0.3750 0.2500
0.0000 0.5000 0.0000
0.0000 0.0000 0.0000
0.3750 0.2500 0.1250
0.5000 0.0000 0.5000
0.5000 0.5000 0.0000
0.1250 0.7500 0.3750
0.7500 0.1250 0.8750
0.7500 0.6250 0.3750
0.3750 0.1250 0.7500
0.6250 0.8750 0.2500
0.5000 0.5000 0.5000
0.5000 0.0000 0.0000
0.0000 0.0000 0.5000
0.2500 0.3750 0.6250
0.2500 0.8750 0.1250
0.0000 0.5000 0.5000
0.8750 0.2500 0.6250
0.6250 0.7500 0.8750
0.8750 0.6250 0.7500
0.7265 0.1327 0.0524
0.3260 0.5524 0.4198
0.9476 0.3673 0.2735
0.5524 0.2265 0.1327
0.5938 0.7265 0.6740
0.9476 0.5802 0.1740
0.3260 0.7735 0.4062
0.0802 0.9062 0.1327
0.5802 0.9476 0.6740
0.7265 0.5938 0.1740
0.7735 0.4476 0.3673
0.8260 0.9198 0.0524
0.1327 0.7265 0.5524
0.3673 0.4198 0.0938
0.0938 0.9198 0.3673
0.4062 0.1327 0.5802
0.0938 0.1740 0.2265
0.4476 0.6740 0.0802
0.8260 0.9062 0.2735
0.1327 0.4062 0.0802
0.3673 0.9476 0.7735
0.5802 0.6327 0.4062
0.9198 0.8260 0.5524
0.7735 0.3260 0.9062
0.4198 0.3673 0.5938
0.0802 0.1740 0.4476
0.2265 0.6740 0.0938
0.1740 0.0938 0.7265
0.6327 0.0524 0.2265
0.8673 0.5938 0.9198
0.5524 0.3260 0.9198
0.5938 0.8673 0.4198
0.9062 0.8260 0.7735
0.9062 0.0802 0.6327
0.8673 0.2735 0.4476
0.1740 0.0802 0.9476
0.6327 0.5802 0.9062
0.4198 0.0524 0.3260
0.2735 0.4062 0.8260
0.2265 0.5524 0.6327
0.9198 0.0938 0.8673
0.6740 0.2265 0.5938
0.4476 0.7735 0.8673
0.0524 0.4198 0.8260
0.4062 0.2735 0.3260
0.0524 0.6327 0.7265
0.6740 0.4476 0.5802
0.2735 0.8673 0.9476
```

---

Record 6
Below is a relaxed structure of SrRuIO4, with properties calculated at the PBE-GGA level.

Values from the calculation:
As for the formation energy from raw total energies: -9.2 eV/f.u. The value obtained for the density of states at the Fermi level is 4.79 states/eV/f.u. Its space group is C2/m (12).

```
SrRuIO4
1.0
7.0269 0.3389 -0.4032
2.6474 6.5179 -0.4032
1.5448 1.0949 6.8273
Sr Ru I O
2 2 2 8
Direct
0.2546 0.2546 0.8593
0.7454 0.7454 0.1407
0.6304 0.6304 0.7378
0.3696 0.3696 0.2622
0.0134 0.0134 0.2578
0.9866 0.9866 0.7422
0.2967 0.2967 0.5029
0.7033 0.7033 0.4971
0.1394 0.4975 0.1353
0.5194 0.5194 0.2242
0.5025 0.8606 0.8647
0.4975 0.1394 0.1353
0.4806 0.4806 0.7758
0.8606 0.5025 0.8647
```

---

Record 7
Below is a relaxed structure of Sm2EuHg, with properties calculated at the PBE-GGA level.

Values from the calculation:
The value obtained for the density of states at the Fermi level is 4.51 states/eV/f.u. The value obtained for the energy relative to the elements is -0.18 eV/atom. Its space group is P4/mmm (123).

```
Sm2EuHg
1.0
-3.5281 -1.1440 0.7757
0.9275 -0.3829 3.6539
-2.4255 8.5021 1.5067
Eu Hg Sm
1 1 2
Direct
0.5000 0.5000 0.5000
0.5000 0.5000 0.0000
0.0000 0.0000 0.7929
0.0000 0.0000 0.2071
```

---

Record 8
Below is a relaxed structure of SbN3F, with properties calculated at the PBE-GGA level.

Values from the calculation:
As for the formation energy from raw total energies: 12.3 eV/f.u. The value obtained for the density of states at the Fermi level is 3.79 states/eV/f.u. Its space group is Pm-3m (221).

```
SbN3F
1.0
3.7373 0.0000 0.0000
0.0000 3.7373 0.0000
0.0000 0.0000 3.7373
Sb N F
1 3 1
Direct
0.5000 0.5000 0.5000
0.0000 0.5000 0.0000
0.0000 0.0000 0.5000
0.5000 0.0000 0.0000
0.0000 0.0000 0.0000
```

---

Record 9
Below is a relaxed structure of AlCF2, with properties calculated at the PBE-GGA level.

Values from the calculation:
As for the formation energy from raw total energies: 0.5 eV/f.u. The value obtained for the density of states at the Fermi level is 1.69 states/eV/f.u. Its space group is R-3m (166).

```
AlCF2
1.0
1.5547 0.0000 7.1769
-0.7773 1.3464 7.1769
-0.7773 -1.3464 7.1769
C Al F
1 1 2
Direct
0.0000 0.0000 0.0000
0.5000 0.5000 0.5000
0.9058 0.9058 0.9058
0.0942 0.0942 0.0942
```

---

Record 10
Below is a relaxed structure of Li3Ho4Tl4, with properties calculated at the PBE-GGA level.

Values from the calculation:
The value obtained for the density of states at the Fermi level is 8.15 states/eV/f.u. The value obtained for the energy relative to the elements is -0.09 eV/atom. Its space group is Immm (71).

```
Li3Ho4Tl4
1.0
-2.8826 1.1948 1.4069
-4.8759 -2.5734 -7.8049
2.3166 -7.3523 6.8266
Li Ho Tl
3 4 4
Direct
0.0907 0.0907 0.1814
0.9093 0.9093 0.8186
0.0000 0.5000 0.0000
0.3336 0.1472 0.6672
0.6664 0.4800 0.3328
0.6664 0.8528 0.3328
0.3336 0.5200 0.6672
0.2790 0.7790 0.5579
0.7210 0.2210 0.4421
0.5000 0.7957 0.0000
0.5000 0.2043 0.0000
```

---

Record 11
Below is a relaxed structure of LiUTcRu, with properties calculated at the PBE-GGA level.

Values from the calculation:
The value obtained for the density of states at the Fermi level is 4.34 states/eV/f.u. The value obtained for the energy relative to the elements is -0.03 eV/atom. Its space group is F-43m (216).

```
LiUTcRu
1.0
-0.9476 2.9930 3.1958
-0.3799 -1.3205 4.2639
3.1314 1.1523 2.9892
Ru U Tc Li
1 1 1 1
Direct
0.2500 0.2500 0.2500
0.5000 0.5000 0.5000
0.7500 0.7500 0.7500
0.0000 0.0000 0.0000
```

---

Record 12
Below is a relaxed structure of TlFe5, with properties calculated at the PBE-GGA level.

Values from the calculation:
The value obtained for the density of states at the Fermi level is 5.76 states/eV/f.u. The value obtained for the energy relative to the elements is 0.28 eV/atom. Its space group is C2/m (12).

```
TlFe5
1.0
-3.0518 -2.1091 3.1164
-0.2762 -3.3691 3.4708
0.6018 2.8318 5.3547
Tl Fe
1 5
Direct
0.0000 0.0000 0.0000
0.3251 0.3251 0.8050
0.0000 0.0000 0.5000
0.6749 0.6749 0.1950
0.6738 0.6738 0.6444
0.3262 0.3262 0.3556
```